#P
A geometry-optimized YBe2F structure. Source: the Alexandria database, functional PBE.

a = 4.5113 Å, b = 4.5113 Å, c = 4.5113 Å
α = 60.00°, β = 60.00°, γ = 60.00°
With the nearest neighbours (Å) after each atom.
Atoms (fractional coordinates):
Y (0.0000, 0.0000, 0.0000)  8 Be 2.76
Be (0.2500, 0.2500, 0.2500)  4 F 2.76, 4 Y 2.76
Be (0.7500, 0.7500, 0.7500)  4 F 2.76, 4 Y 2.76
F (0.5000, 0.5000, 0.5000)  8 Be 2.76

Values from the calculation:
Space-group type: Fm-3m (225)

#Q
A geometry-optimized YBe2F structure. Source: the Alexandria database, functional PBE.

a = 5.6777 Å, b = 5.6777 Å, c = 5.6777 Å
α = 119.87°, β = 119.87°, γ = 90.22°
With the nearest neighbours (Å) after each atom.
Atoms (fractional coordinates):
Y (0.0000, 0.0000, 0.0000)  8 Be 3.15-3.33, 4 F 3.48, 4 Y 3.48
Y (0.7500, 0.2500, 0.5000)  8 Be 3.15-3.33, 4 F 3.48, 4 Y 3.48
Be (0.3357, 0.1250, 0.7107)  2 F 1.75
Be (0.3750, 0.6643, 0.7893)  2 F 1.75
Be (0.4143, 0.6250, 0.2893)  2 F 1.75
Be (0.8750, 0.5857, 0.2107)  2 F 1.75
F (0.2500, 0.7500, 0.5000)  4 Be 1.75
F (0.5000, 0.5000, 0.0000)  4 Be 1.75

Values from the calculation:
Space-group type: I-42d (122)

Result of the stability comparison: #Q is the most stable of them.

#P
A geometry-optimized YBeF3 structure. Source: the Alexandria database, functional PBE.

a = 3.9096 Å, b = 3.9096 Å, c = 3.9096 Å
α = 90.00°, β = 90.00°, γ = 90.00°
With the nearest neighbours (Å) after each atom.
Atoms (fractional coordinates):
Y (0.0000, 0.0000, 0.0000)  12 F 2.76
Be (0.5000, 0.5000, 0.5000)  6 F 1.95
F (0.0000, 0.5000, 0.5000)  2 Be 1.95
F (0.5000, 0.0000, 0.5000)  2 Be 1.95
F (0.5000, 0.5000, 0.0000)  2 Be 1.95

Values from the calculation:
Space-group type: Pm-3m (221)

#Q
A geometry-optimized YBeF3 structure. Source: the Alexandria database, functional PBE.

a = 4.4585 Å, b = 4.4585 Å, c = 4.4585 Å
α = 90.00°, β = 90.00°, γ = 90.00°
With the nearest neighbours (Å) after each atom.
Atoms (fractional coordinates):
Y (0.0000, 0.0000, 0.0000)  6 F 2.23
Be (0.5000, 0.5000, 0.5000)  12 F 3.15
F (0.0000, 0.0000, 0.5000)  2 Y 2.23
F (0.0000, 0.5000, 0.0000)  2 Y 2.23
F (0.5000, 0.0000, 0.0000)  2 Y 2.23

Values from the calculation:
Space-group type: Pm-3m (221)

Result of the stability comparison: #Q is the most stable of them.

#P
A geometry-optimized YbBeF4 structure. Source: the Alexandria database, functional PBE.

a = 8.0519 Å, b = 4.4328 Å, c = 11.7462 Å
α = 90.00°, β = 130.80°, γ = 90.00°
With the nearest neighbours (Å) after each atom.
Atoms (fractional coordinates):
Yb (0.1735, 0.0500, 0.4200)  7 F 2.32-2.59
Yb (0.1735, 0.4500, 0.9200)  7 F 2.32-2.59
Yb (0.8265, 0.5500, 0.0800)  7 F 2.32-2.59
Yb (0.8265, 0.9500, 0.5800)  7 F 2.32-2.59
Be (0.3995, 0.1251, 0.7645)  4 F 1.52-1.62
Be (0.3995, 0.3749, 0.2645)  4 F 1.52-1.62
Be (0.6005, 0.6251, 0.7355)  4 F 1.52-1.62
Be (0.6005, 0.8749, 0.2355)  4 F 1.52-1.62
F (0.0721, 0.5509, 0.3447)  3 Yb 2.32-2.35
F (0.0721, 0.9491, 0.8447)  3 Yb 2.32-2.35
F (0.1788, 0.5223, 0.1408)  1 Be 1.52
F (0.1788, 0.9777, 0.6408)  1 Be 1.52
F (0.4238, 0.1396, 0.1701)  2 Be 1.60-1.62
F (0.4238, 0.3604, 0.6701)  2 Be 1.60-1.62
F (0.4458, 0.2021, 0.3948)  1 Be 1.52
F (0.4458, 0.2979, 0.8948)  1 Be 1.52
F (0.5542, 0.7021, 0.1052)  1 Be 1.52
F (0.5542, 0.7979, 0.6052)  1 Be 1.52
F (0.5762, 0.6396, 0.3299)  2 Be 1.60-1.62
F (0.5762, 0.8604, 0.8299)  2 Be 1.60-1.62
F (0.8212, 0.0223, 0.3592)  1 Be 1.52
F (0.8212, 0.4777, 0.8592)  1 Be 1.52
F (0.9279, 0.0509, 0.1553)  3 Yb 2.32-2.35
F (0.9279, 0.4491, 0.6553)  3 Yb 2.32-2.35

Values from the calculation:
Space-group type: P2_1/c (14)

#Q
A geometry-optimized YbBeF4 structure. Source: the Alexandria database, functional PBE.

a = 5.4135 Å, b = 7.9360 Å, c = 8.2645 Å
α = 95.38°, β = 106.26°, γ = 95.69°
With the nearest neighbours (Å) after each atom.
Atoms (fractional coordinates):
Yb (0.2098, 0.0657, 0.3659)  5 F 2.25-2.42
Yb (0.2328, 0.6273, 0.4188)  7 F 2.30-2.55
Yb (0.7672, 0.3727, 0.5812)  7 F 2.30-2.55
Yb (0.7902, 0.9343, 0.6341)  5 F 2.25-2.42
Be (0.1911, 0.2977, 0.9853)  4 F 1.52-1.65
Be (0.2472, 0.6464, 0.8840)  4 F 1.54-1.63
Be (0.7528, 0.3536, 0.1160)  4 F 1.54-1.63
Be (0.8089, 0.7023, 0.0147)  4 F 1.52-1.65
F (0.0163, 0.7540, 0.9092)  2 Be 1.63-1.65
F (0.0529, 0.2170, 0.8041)  1 Be 1.52
F (0.1384, 0.8662, 0.5573)  3 Yb 2.25-2.42
F (0.1694, 0.5585, 0.6991)  1 Be 1.54
F (0.2470, 0.5015, 0.0059)  2 Be 1.60
F (0.3581, 0.3557, 0.3893)  3 Yb 2.32-2.33
F (0.4734, 0.2438, 0.0622)  2 Be 1.59-1.60
F (0.4812, 0.8553, 0.3659)  3 Yb 2.30-2.36
F (0.5188, 0.1447, 0.6341)  3 Yb 2.30-2.36
F (0.5266, 0.7562, 0.9378)  2 Be 1.59-1.60
F (0.6419, 0.6443, 0.6107)  3 Yb 2.32-2.33
F (0.7530, 0.4985, 0.9941)  2 Be 1.60
F (0.8306, 0.4415, 0.3009)  1 Be 1.54
F (0.8616, 0.1338, 0.4427)  3 Yb 2.25-2.42
F (0.9471, 0.7830, 0.1959)  1 Be 1.52
F (0.9837, 0.2460, 0.0908)  2 Be 1.63-1.65

Values from the calculation:
Space-group type: P-1 (2)

#R
A geometry-optimized YbBeF4 structure. Source: the Alexandria database, functional PBE.

a = 6.4736 Å, b = 6.9748 Å, c = 8.1273 Å
α = 90.00°, β = 126.29°, γ = 90.00°
With the nearest neighbours (Å) after each atom.
Atoms (fractional coordinates):
Yb (0.1869, 0.1550, 0.2787)  8 F 2.42-2.57
Yb (0.1869, 0.3450, 0.7787)  8 F 2.42-2.57
Yb (0.8131, 0.6550, 0.2213)  8 F 2.42-2.57
Yb (0.8131, 0.8450, 0.7213)  8 F 2.42-2.57
Be (0.3092, 0.6602, 0.1979)  4 F 1.56-1.57
Be (0.3092, 0.8398, 0.6979)  4 F 1.56-1.57
Be (0.6908, 0.1602, 0.3021)  4 F 1.56-1.57
Be (0.6908, 0.3398, 0.8021)  4 F 1.56-1.57
F (0.1215, 0.6631, 0.6133)  1 Be 1.57
F (0.1215, 0.8369, 0.1133)  1 Be 1.57
F (0.1795, 0.5043, 0.2473)  1 Be 1.56
F (0.1795, 0.9957, 0.7473)  1 Be 1.56
F (0.3398, 0.5994, 0.0281)  1 Be 1.56
F (0.3398, 0.9006, 0.5281)  1 Be 1.56
F (0.4101, 0.2083, 0.1193)  1 Be 1.56
F (0.4101, 0.2917, 0.6193)  1 Be 1.56
F (0.5899, 0.7083, 0.3807)  1 Be 1.56
F (0.5899, 0.7917, 0.8807)  1 Be 1.56
F (0.6602, 0.0994, 0.4719)  1 Be 1.56
F (0.6602, 0.4006, 0.9719)  1 Be 1.56
F (0.8205, 0.0043, 0.2527)  1 Be 1.56
F (0.8205, 0.4957, 0.7527)  1 Be 1.56
F (0.8785, 0.1631, 0.8867)  1 Be 1.57
F (0.8785, 0.3369, 0.3867)  1 Be 1.57

Values from the calculation:
Space-group type: P2_1/c (14)

Result of the stability comparison: #R is the most stable of them.